(1)
The following is a PBE calculation of a relaxed structure of PuAl2Ir, from the Alexandria database.

a b c (Å): 2.9990 2.9990 7.7010
angles (deg): 90.00 90.00 90.00
Closest atoms and distances in Å follow each position.
Positions (direct):
Pu  0.0000  0.0000  0.0000  4 Pu 3.00, 8 Al 3.15
Al  0.5000  0.5000  0.3024  4 Ir 2.61
Al  0.5000  0.5000  0.6976  4 Ir 2.61
Ir  0.0000  0.0000  0.5000  8 Al 2.61

## Properties
Calculated formation energy   -0.57 eV/atom
Symmetry   P4/mmm (123)
Total moment   5.40 μB/cell
V   69 Å³/f.u.

(2)
The following is a PBE calculation of a relaxed structure of Pu3Al7Ir4, from the Alexandria database.

a b c (Å): 7.9298 7.9298 9.4208
angles (deg): 122.14 122.14 30.89
Closest atoms and distances in Å follow each position.
Positions (direct):
Pu  0.0000  0.0000  0.0000  2 Ir 2.86
Pu  0.3084  0.3084  0.3013  4 Ir 2.98-3.07, 10 Al 3.07-3.24
Pu  0.6916  0.6916  0.6987  4 Ir 2.98-3.07, 10 Al 3.07-3.24
Al  0.0000  0.0000  0.5000  2 Ir 2.63, 6 Al 2.87-2.89
Al  0.1593  0.1593  0.4269  3 Ir 2.56-2.60, 2 Al 2.86
Al  0.3164  0.3164  0.9779  4 Ir 2.58-2.66, 1 Al 2.81
Al  0.4925  0.4925  0.7028  3 Ir 2.49-2.60
Al  0.5075  0.5075  0.2972  3 Ir 2.49-2.60
Al  0.6836  0.6836  0.0221  4 Ir 2.58-2.66, 1 Al 2.81
Al  0.8407  0.8407  0.5731  3 Ir 2.56-2.60, 2 Al 2.86
Ir  0.1103  0.1103  0.8345  6 Al 2.58-2.66, 1 Pu 2.86
Ir  0.3367  0.3367  0.7229  5 Al 2.49-2.60
Ir  0.6633  0.6633  0.2771  5 Al 2.49-2.60
Ir  0.8897  0.8897  0.1655  6 Al 2.58-2.66, 1 Pu 2.86

## Properties
Calculated formation energy   -0.66 eV/atom
Symmetry   C2/m (12)
Total moment   15.26 μB/cell
V   254 Å³/f.u.

(3)
The following is a PBE calculation of a relaxed structure of Pu2AlIr, from the Alexandria database.

a b c (Å): 3.7716 3.7716 5.7736
angles (deg): 90.00 90.00 90.00
Closest atoms and distances in Å follow each position.
Positions (direct):
Pu  0.0000  0.0000  0.2402  2 Pu 2.77-3.00, 4 Ir 3.01, 4 Al 3.06
Pu  0.0000  0.0000  0.7598  2 Pu 2.77-3.00, 4 Ir 3.01, 4 Al 3.06
Al  0.5000  0.5000  0.5000  2 Ir 2.89, 8 Pu 3.06
Ir  0.5000  0.5000  0.0000  2 Al 2.89, 8 Pu 3.01

## Properties
Calculated formation energy   -0.34 eV/atom
Symmetry   P4/mmm (123)
Total moment   10.32 μB/cell
V   82 Å³/f.u.

(4)
The following is a PBE calculation of a relaxed structure of PuAl4Ir5, from the Alexandria database.

a b c (Å): 2.9922 2.9922 16.5698
angles (deg): 90.00 90.00 90.00
Closest atoms and distances in Å follow each position.
Positions (direct):
Pu  0.0000  0.0000  0.0000  4 Pu 2.99, 8 Ir 3.02
Al  0.0000  0.0000  0.2185  8 Ir 2.57-2.67
Al  0.0000  0.0000  0.4067  8 Ir 2.59-2.62
Al  0.0000  0.0000  0.5933  8 Ir 2.59-2.62
Al  0.0000  0.0000  0.7815  8 Ir 2.57-2.67
Ir  0.5000  0.5000  0.1303  4 Al 2.57
Ir  0.5000  0.5000  0.3163  8 Al 2.59-2.67
Ir  0.5000  0.5000  0.5000  8 Al 2.62
Ir  0.5000  0.5000  0.6837  8 Al 2.59-2.67
Ir  0.5000  0.5000  0.8697  4 Al 2.57

## Properties
Calculated formation energy   -0.85 eV/atom
Symmetry   P4/mmm (123)
Total moment   4.54 μB/cell
V   148 Å³/f.u.

(5)
The following is a PBE calculation of a relaxed structure of Pu2AlIr3, from the Alexandria database.

a b c (Å): 6.2369 6.2369 6.2369
angles (deg): 140.10 129.53 66.19
Closest atoms and distances in Å follow each position.
Positions (direct):
Pu  0.1794  0.1794  0.0000  6 Ir 2.70-2.89
Pu  0.8206  0.8206  0.0000  6 Ir 2.70-2.89
Al  0.5000  0.5000  0.0000  6 Ir 2.54-2.66
Ir  0.0000  0.5000  0.5000  2 Al 2.66, 4 Pu 2.84
Ir  0.3670  0.8670  0.5000  2 Al 2.54, 2 Pu 2.70, 1 Ir 2.78
Ir  0.6330  0.1330  0.5000  2 Al 2.54, 2 Pu 2.70, 1 Ir 2.78

## Properties
Calculated formation energy   -0.33 eV/atom
Symmetry   Immm (71)
Total moment   8.57 μB/cell
V   118 Å³/f.u.

(6)
The following is a PBE calculation of a relaxed structure of PuAl4Ir2, from the Alexandria database.

a b c (Å): 17.0485 4.2470 6.7162
angles (deg): 90.00 90.00 90.00
Closest atoms and distances in Å follow each position.
Positions (direct):
Pu  0.1389  0.2500  0.0342  10 Al 3.02-3.34, 4 Ir 3.05-3.24
Pu  0.3611  0.7500  0.5342  10 Al 3.02-3.34, 4 Ir 3.05-3.24
Pu  0.6389  0.2500  0.4658  10 Al 3.02-3.34, 4 Ir 3.05-3.24
Pu  0.8611  0.7500  0.9658  10 Al 3.02-3.34, 4 Ir 3.05-3.24
Al  0.0342  0.7500  0.8478  3 Ir 2.55-2.66, 1 Al 2.80
Al  0.0694  0.2500  0.4989  4 Ir 2.54-2.77
Al  0.1867  0.7500  0.3470  4 Ir 2.57-2.59, 1 Al 2.69
Al  0.1934  0.7500  0.7464  3 Ir 2.53-2.54, 2 Al 2.69-2.80
Al  0.3066  0.2500  0.2464  3 Ir 2.53-2.54, 2 Al 2.69-2.80
Al  0.3133  0.2500  0.8470  4 Ir 2.57-2.59, 1 Al 2.69
Al  0.4306  0.7500  0.9989  4 Ir 2.54-2.77
Al  0.4658  0.2500  0.3478  3 Ir 2.55-2.66, 1 Al 2.80
Al  0.5342  0.7500  0.6522  3 Ir 2.55-2.66, 1 Al 2.80
Al  0.5694  0.2500  0.0011  4 Ir 2.54-2.77
Al  0.6867  0.7500  0.1530  4 Ir 2.57-2.59, 1 Al 2.69
Al  0.6934  0.7500  0.7536  3 Ir 2.53-2.54, 2 Al 2.69-2.80
Al  0.8066  0.2500  0.2536  3 Ir 2.53-2.54, 2 Al 2.69-2.80
Al  0.8133  0.2500  0.6530  4 Ir 2.57-2.59, 1 Al 2.69
Al  0.9306  0.7500  0.5011  4 Ir 2.54-2.77
Al  0.9658  0.2500  0.1522  3 Ir 2.55-2.66, 1 Al 2.80
Ir  0.0403  0.7500  0.2439  7 Al 2.55-2.77
Ir  0.2174  0.2500  0.5480  7 Al 2.53-2.59
Ir  0.2826  0.7500  0.0480  7 Al 2.53-2.59
Ir  0.4597  0.2500  0.7439  7 Al 2.55-2.77
Ir  0.5403  0.7500  0.2561  7 Al 2.55-2.77
Ir  0.7174  0.2500  0.9520  7 Al 2.53-2.59
Ir  0.7826  0.7500  0.4520  7 Al 2.53-2.59
Ir  0.9597  0.2500  0.7561  7 Al 2.55-2.77

## Properties
Calculated formation energy   -0.67 eV/atom
Symmetry   Pnma (62)
Total moment   20.64 μB/cell
V   122 Å³/f.u.

(7)
The following is a PBE calculation of a relaxed structure of Pu2Al3Ir, from the Alexandria database.

a b c (Å): 5.3442 5.3442 5.3442
angles (deg): 61.83 61.83 61.83
Closest atoms and distances in Å follow each position.
Positions (direct):
Pu  0.1221  0.1221  0.1221  4 Pu 3.15-3.37, 9 Al 3.15-3.17, 3 Ir 3.22
Pu  0.8779  0.8779  0.8779  4 Pu 3.15-3.37, 9 Al 3.15-3.17, 3 Ir 3.22
Al  0.0000  0.5000  0.5000  2 Ir 2.67, 4 Al 2.75
Al  0.5000  0.0000  0.5000  2 Ir 2.67, 4 Al 2.75
Al  0.5000  0.5000  0.0000  2 Ir 2.67, 4 Al 2.75
Ir  0.5000  0.5000  0.5000  6 Al 2.67

## Properties
Calculated formation energy   -0.52 eV/atom
Symmetry   R-3m (166)
Total moment   10.50 μB/cell
V   112 Å³/f.u.

(8)
The following is a PBE calculation of a relaxed structure of PuAl3Ir, from the Alexandria database.

a b c (Å): 8.4120 3.3808 11.9210
angles (deg): 90.00 90.00 90.00
Closest atoms and distances in Å follow each position.
Positions (direct):
Pu  0.0957  0.2500  0.0083  2 Pu 2.34
Pu  0.4043  0.7500  0.5083  2 Pu 2.34
Pu  0.5957  0.2500  0.4917  2 Pu 2.34
Pu  0.9043  0.7500  0.9917  2 Pu 2.34
Al  0.0729  0.2500  0.4233  3 Ir 2.56-2.57, 3 Al 2.73-2.78
Al  0.0877  0.7500  0.2263  2 Ir 2.52-2.58, 4 Al 2.71-2.81
Al  0.1624  0.7500  0.7913  2 Ir 2.55, 5 Al 2.71-2.81
Al  0.3376  0.2500  0.2913  2 Ir 2.55, 5 Al 2.71-2.81
Al  0.4123  0.2500  0.7263  2 Ir 2.52-2.58, 4 Al 2.71-2.81
Al  0.4271  0.7500  0.9233  3 Ir 2.56-2.57, 3 Al 2.73-2.78
Al  0.5729  0.2500  0.0767  3 Ir 2.56-2.57, 3 Al 2.73-2.78
Al  0.5877  0.7500  0.2737  2 Ir 2.52-2.58, 4 Al 2.71-2.81
Al  0.6624  0.7500  0.7087  2 Ir 2.55, 5 Al 2.71-2.81
Al  0.8376  0.2500  0.2087  2 Ir 2.55, 5 Al 2.71-2.81
Al  0.9123  0.2500  0.7737  2 Ir 2.52-2.58, 4 Al 2.71-2.81
Al  0.9271  0.7500  0.5767  3 Ir 2.56-2.57, 3 Al 2.73-2.78
Ir  0.1438  0.2500  0.6319  7 Al 2.52-2.58
Ir  0.3562  0.7500  0.1319  7 Al 2.52-2.58
Ir  0.6438  0.2500  0.8681  7 Al 2.52-2.58
Ir  0.8562  0.7500  0.3681  7 Al 2.52-2.58

## Properties
Calculated formation energy   -0.44 eV/atom
Symmetry   Pnma (62)
Total moment   0.00 μB/cell
V   85 Å³/f.u.

(9)
The following is a PBE calculation of a relaxed structure of Pu2AlIr, from the Alexandria database.

a b c (Å): 3.5839 3.5839 5.0303
angles (deg): 90.00 90.00 90.00
Closest atoms and distances in Å follow each position.
Positions (direct):
Pu  0.0000  0.5000  0.0000  4 Pu 2.53
Pu  0.5000  0.0000  0.0000  4 Pu 2.53
Al  0.0000  0.0000  0.5000  4 Ir 2.53
Ir  0.5000  0.5000  0.5000  4 Al 2.53

## Properties
Calculated formation energy   -0.08 eV/atom
Symmetry   P4/mmm (123)
Total moment   0.00 μB/cell
V   65 Å³/f.u.

(10)
The following is a PBE calculation of a relaxed structure of PuAl2Ir, from the Alexandria database.

a b c (Å): 5.7489 5.7489 5.7489
angles (deg): 43.10 43.10 43.10
Closest atoms and distances in Å follow each position.
Positions (direct):
Pu  0.0000  0.0000  0.0000  8 Al 3.14-3.23
Al  0.2070  0.2070  0.2070  3 Ir 2.52, 3 Al 2.75
Al  0.7930  0.7930  0.7930  3 Ir 2.52, 3 Al 2.75
Ir  0.5000  0.5000  0.5000  6 Al 2.52

## Properties
Calculated formation energy   -0.47 eV/atom
Symmetry   R-3m (166)
Total moment   6.16 μB/cell
V   80 Å³/f.u.

(11)
The following is a PBE calculation of a relaxed structure of Pu2Al5Ir3, from the Alexandria database.

a b c (Å): 12.6846 12.6846 6.7785
angles (deg): 90.00 90.00 160.79
Closest atoms and distances in Å follow each position.
Positions (direct):
Pu  0.0221  0.9779  0.5000  3 Ir 2.72-2.92
Pu  0.3261  0.6739  0.5757  4 Ir 2.94-3.21, 9 Al 3.03-3.21
Pu  0.6739  0.3261  0.0757  4 Ir 2.94-3.21, 9 Al 3.03-3.21
Pu  0.9779  0.0221  0.0000  3 Ir 2.72-2.92
Al  0.1002  0.8998  0.8762  3 Ir 2.57-2.63, 1 Al 2.84
Al  0.2076  0.7924  0.3924  4 Ir 2.57-2.60, 1 Al 2.67
Al  0.2111  0.7889  0.7865  3 Ir 2.54, 2 Al 2.67-2.84
Al  0.3710  0.6290  0.0369  2 Ir 2.54-2.62
Al  0.4446  0.5554  0.6670  4 Ir 2.60-2.69
Al  0.5554  0.4446  0.1670  4 Ir 2.60-2.69
Al  0.6290  0.3710  0.5369  2 Ir 2.54-2.62
Al  0.7889  0.2111  0.2865  3 Ir 2.54, 2 Al 2.67-2.84
Al  0.7924  0.2076  0.8924  4 Ir 2.57-2.60, 1 Al 2.67
Al  0.8998  0.1002  0.3762  3 Ir 2.57-2.63, 1 Al 2.84
Ir  0.1098  0.8902  0.2619  6 Al 2.60-2.86, 1 Pu 2.72
Ir  0.2704  0.7296  0.0905  7 Al 2.54-2.58
Ir  0.4524  0.5476  0.2808  5 Al 2.57-2.69
Ir  0.5476  0.4524  0.7808  5 Al 2.57-2.69
Ir  0.7296  0.2704  0.5905  7 Al 2.54-2.58
Ir  0.8902  0.1098  0.7619  6 Al 2.60-2.86, 1 Pu 2.72

## Properties
Calculated formation energy   -0.68 eV/atom
Symmetry   Cmc2_1 (36)
Total moment   20.14 μB/cell
V   179 Å³/f.u.

(12)
The following is a PBE calculation of a relaxed structure of PuAlIr2, from the Alexandria database.

a b c (Å): 3.0278 3.0278 7.2320
angles (deg): 90.00 90.00 90.00
Closest atoms and distances in Å follow each position.
Positions (direct):
Pu  0.0000  0.0000  0.0000  8 Ir 3.01, 4 Pu 3.03
Al  0.0000  0.0000  0.5000  8 Ir 2.61
Ir  0.5000  0.5000  0.2930  4 Al 2.61
Ir  0.5000  0.5000  0.7070  4 Al 2.61

## Properties
Calculated formation energy   -0.63 eV/atom
Symmetry   P4/mmm (123)
Total moment   4.88 μB/cell
V   66 Å³/f.u.